An optimized crystal structure of LaTcBRh2. Source: Alexandria via LeMat-Bulk, functional PBE.

a = 4.8077 Å, b = 4.5398 Å, c = 4.8077 Å
α = 90.00°, β = 90.00°, γ = 90.00°
Each line ends with the local moment (μB).
Fractional positions:
1 B 0.0000 0.5000 0.0000  0.04
2 Rh 0.0000 0.0000 0.5000  0.06
3 Rh 0.5000 0.0000 0.0000  0.12
4 Tc 0.5000 0.5000 0.5000  -0.61
5 La 0.0000 0.0000 0.0000  0.01

E_tot in eV per atom: -5.195
DOS(E_F) in states/eV per atom: 1.433
Size of the total moment in μB/f.u.: 0.39
Space group: No. 123